(1)
Li2CuSiB | the Alexandria database | PBE | relaxed; V = 73.7 Å³ per cell; ΔE_f (raw) = 13.95 kcal/mol of atoms
1.0
-2.125 3.798 0.610
-2.880 -1.878 1.662
1.953 0.465 3.909
Si B Cu Li
1 1 1 2
direct
0.500 0.500 0.500 Si
0.000 0.500 0.000 B
0.000 0.000 0.000 Cu
0.000 0.000 0.500 Li
0.500 0.000 0.000 Li

(2)
ScTaBr | the Alexandria database | PBE | relaxed; V = 62.0 Å³ per cell; ΔE_f (raw) = 1.45 kcal/mol of atoms
1.0
7.034 0.019 -0.014
6.118 3.026 0.032
0.917 -0.730 2.917
Br Sc Ta
1 1 1
direct
0.996 0.996 0.004 Br
0.334 0.334 0.666 Sc
0.671 0.671 0.329 Ta